Here is Sr2ZrMoO6 after structural relaxation from the Alexandria database. Energies are from PBE+U.

## Properties
**Relative energy among the computed polymorphs**: 0.67 eV per formula unit
**Magnetic moment**: 2.00 μB/cell

Cell: 4.123 4.123 8.355 Å, 90.00 90.00 90.00°
Fractional positions:
Sr: 0.000 0.000 0.250
Sr: 0.000 0.000 0.750
Zr: 0.500 0.500 0.000
Mo: 0.500 0.500 0.500
O: 0.000 0.500 0.000
O: 0.000 0.500 0.500
O: 0.500 0.000 0.000
O: 0.500 0.000 0.500
O: 0.500 0.500 0.252
O: 0.500 0.500 0.748